Here is a relaxed structure of LiInGa from the Alexandria database. Energies are from PBE.

Output
The density of states at the Fermi level is 1.1 states/eV per cell. For the formation energy, the calculation gives -0.156 eV/atom. The raw total energy comes out at -2.715 eV/atom.

Cell and atoms, written as POSCAR:
```
LiInGa
1.0
4.820 0.000 0.000
-2.410 4.175 0.000
0.000 0.000 3.082
Li In Ga
1 1 1
Direct
0.000 0.000 0.000
0.333 0.667 0.499
0.667 0.333 0.505
```